# Sr2SmTaN4

Sr2SmTaN4 after structural relaxation (GGA-PBE, Alexandria via LeMat-Bulk).

Crystal system ... orthorhombic
Volume ... 15.31 Å³/atom
Raw formation energy ... -1.0358 eV per atom

CIF file:
```
data_Sr2SmTaN4
_cell_length_a 6.878
_cell_length_b 7.136
_cell_length_c 9.985
_cell_angle_alpha 90.00
_cell_angle_beta 90.00
_cell_angle_gamma 90.00
_space_group_name_H-M_alt 'I m m a'
_space_group_IT_number 74
_space_group_name_Hall '-I 2b 2'
loop_
_atom_site_label
_atom_site_type_symbol
_atom_site_fract_x
_atom_site_fract_y
_atom_site_fract_z
Sr1 Sr 0.000 0.000 0.000
Sr2 Sr 0.250 0.250 0.250
Sm1 Sm 0.000 0.000 0.500
Ta1 Ta 0.250 0.250 0.750
N1 N 0.000 0.043 0.746
N2 N 0.237 0.250 0.536
```